PrCu3Ni4O12 (PBE+U, optimized geometry); volume = 9.88 A^3/atom; crystal system = cubic; VASP energy = -0.3910 Ry per atom
1.0
-1.080 5.655 -2.690
-0.389 -4.554 -4.414
-4.337 -1.058 4.522
Pr Cu Ni O
1 3 4 12
direct
0.000 0.000 0.000
0.000 0.500 0.500
0.500 0.500 0.000
0.500 0.000 0.500
0.500 0.000 0.000
0.500 0.500 0.500
0.000 0.500 0.000
0.000 0.000 0.500
0.311 0.829 0.140
0.689 0.171 0.860
0.689 0.829 0.519
0.860 0.689 0.171
0.829 0.140 0.311
0.171 0.481 0.311
0.481 0.311 0.171
0.171 0.860 0.689
0.311 0.171 0.481
0.140 0.311 0.829
0.829 0.519 0.689
0.519 0.689 0.829